Entry 1:
Material: Ac3Mg2Tl
Method: DFT, PBE-GGA
State: optimized geometry

Unit cell a=4.1195 b=5.8064 c=9.2343 alpha=108.33 beta=90.00 gamma=90.00
Fractional coordinates of all 6 atoms:
Mg 0.0000 0.3282 0.6564
Mg 0.0000 0.6718 0.3436
Tl 0.0000 0.0000 0.0000
Ac 0.5000 0.5000 0.0000
Ac 0.5000 0.8344 0.6689
Ac 0.5000 0.1656 0.3311

## Properties
space-group type: Cmmm
calculated formation energy: -0.171 eV per atom
ΔE to the lowest computed polymorph: 0.000 eV/atom
ρ: 7.4 g cm⁻³


Entry 2:
Material: IrCl3
Method: DFT, PBE-GGA
State: optimized geometry

Unit cell a=11.7164 b=11.2232 c=6.2088 alpha=78.73 beta=69.96 gamma=31.31
Fractional coordinates of all 16 atoms:
Cl 0.1540 0.6696 0.3720
Cl 0.0960 0.5804 0.8780
Ir 0.4165 0.4165 0.5835
Cl 0.8780 0.4457 0.0960
Cl 0.6696 0.1540 0.8043
Ir 0.8335 0.8335 0.6665
Cl 0.7132 0.2868 0.2868
Cl 0.5368 0.9632 0.9632
Ir 0.5835 0.5835 0.4165
Cl 0.8043 0.3720 0.6696
Cl 0.2868 0.7132 0.7132
Cl 0.3720 0.8043 0.1540
Cl 0.9632 0.5368 0.5368
Ir 0.6665 0.6665 0.8335
Cl 0.5804 0.0960 0.4457
Cl 0.4457 0.8780 0.5804

## Properties
formation energy without anion corrections: -0.481 eV per atom
space-group type: Fddd
ρ: 5.1 g cm⁻³


Entry 3:
Material: CdFe
Method: DFT, PBE-GGA
State: optimized geometry

Unit cell a=2.8156 b=3.9454 c=6.3113 alpha=90.00 beta=90.00 gamma=90.00
Last column: magnetic moment on the atom in μB.
Fractional coordinates of all 4 atoms:
Cd 0.0000 0.0000 0.0639  -0.02
Cd 0.5000 0.5000 0.7694  -0.02
Fe 0.0000 0.5000 0.3785  2.60
Fe 0.5000 0.0000 0.4548  2.60

## Properties
space-group type: Pmmn
calculated formation energy: 0.377 eV per atom
ρ: 8.0 g cm⁻³


Entry 4:
Material: LaP2PbCl
Method: DFT, PBE-GGA
State: optimized geometry

Unit cell a=5.1839 b=5.1839 c=5.1999 alpha=90.00 beta=90.00 gamma=90.00
Last column: magnetic moment on the atom in μB.
Fractional coordinates of all 5 atoms:
P 0.0000 0.5000 0.0000  0.00
Pb 0.0000 0.0000 0.0000  0.00
Cl 0.0000 0.0000 0.5000  0.00
P 0.5000 0.0000 0.0000  0.00
La 0.5000 0.5000 0.5000  -0.12

## Properties
formation energy without anion corrections: -0.162 eV per atom
space-group type: P4/mmm
ΔE to the lowest computed polymorph: 0.000 eV/atom
ρ: 5.3 g cm⁻³


Entry 5:
Material: Y3ReP
Method: DFT, PBE-GGA
State: optimized geometry

Unit cell a=5.1392 b=5.1392 c=5.1392 alpha=90.00 beta=90.00 gamma=90.00
Fractional coordinates of all 5 atoms:
Re 0.5000 0.5000 0.5000
Y 0.0000 0.5000 0.0000
Y 0.0000 0.0000 0.5000
Y 0.5000 0.0000 0.0000
P 0.0000 0.0000 0.0000

## Properties
space-group type: Pm-3m
calculated formation energy: 0.246 eV per atom
ΔE to the lowest computed polymorph: 0.000 eV/atom
ρ: 5.9 g cm⁻³


Entry 6:
Material: ScCd2Se
Method: DFT, PBE-GGA
State: optimized geometry

Unit cell a=4.9964 b=4.9964 c=4.9964 alpha=60.00 beta=60.00 gamma=60.00
Fractional coordinates of all 4 atoms:
Cd 0.2500 0.2500 0.2500
Cd 0.0000 0.0000 0.0000
Se 0.7500 0.7500 0.7500
Sc 0.5000 0.5000 0.5000

## Properties
formation energy without anion corrections: -0.271 eV per atom
space-group type: F-43m
ρ: 6.6 g cm⁻³


Entry 7:
Material: SiPRh
Method: DFT, PBE-GGA
State: optimized geometry

Unit cell a=3.4072 b=7.0071 c=7.5777 alpha=90.02 beta=90.00 gamma=90.00
Fractional coordinates of all 12 atoms:
P 0.7500 0.9099 0.6570
Rh 0.2500 0.7509 0.4527
Rh 0.2500 0.2509 0.0472
P 0.2500 0.5902 0.1568
Si 0.7500 0.0214 0.1404
Si 0.2500 0.4786 0.6404
Si 0.7500 0.5214 0.3596
Rh 0.7500 0.2491 0.5473
P 0.7500 0.4098 0.8432
Rh 0.7500 0.7491 0.9528
Si 0.2500 0.9786 0.8596
P 0.2500 0.0901 0.3430

## Properties
formation energy without anion corrections: -0.304 eV per atom
space-group type: Pnma
ρ: 5.9 g cm⁻³


Entry 8:
Material: Zr2ScIn4
Method: DFT, PBE-GGA
State: optimized geometry

Unit cell a=4.7682 b=4.7682 c=8.1474 alpha=107.01 beta=107.01 gamma=90.00
Fractional coordinates of all 7 atoms:
In 0.6138 0.1138 0.2276
Sc 0.0000 0.0000 0.0000
In 0.3862 0.8862 0.7724
Zr 0.2444 0.2444 0.4888
In 0.1138 0.6138 0.2276
In 0.8862 0.3862 0.7724
Zr 0.7556 0.7556 0.5112

## Properties
space-group type: I4/mmm
calculated formation energy: -0.218 eV per atom
ρ: 6.8 g cm⁻³